# Th8GeTe4P3

A relaxed Th8GeTe4P3 crystal (PBE, the Alexandria database).

Summary:
Raw formation energy: -20.44 eV/f.u.
Fermi-level density of states: 29.287 states/eV per cell
ρ: 9.1 g/cm3
Volume: 1380.6 Å³/cell
Electronic total energy: -7.08 eV per atom

Cell and atoms, written as CIF:
```
data_Th8GeTe4P3
_symmetry_space_group_name_H-M 'R -3 m'
_symmetry_Int_Tables_number 166
_symmetry_space_group_name_Hall '-R 3 2"'
_cell_length_a 8.4543
_cell_length_b 8.4543
_cell_length_c 22.3039
_cell_angle_alpha 90.00
_cell_angle_beta 90.00
_cell_angle_gamma 120.00
loop_
_atom_site_label
_atom_site_type_symbol
_atom_site_fract_x
_atom_site_fract_y
_atom_site_fract_z
Th1 Th 0.0000 0.0000 0.2355
Th2 Th 0.0093 0.5046 0.7634
Ge1 Ge 0.0000 0.0000 0.5000
Te1 Te 0.0000 0.0000 0.0000
Te2 Te 0.0000 0.5000 0.0000
P1 P 0.0000 0.5000 0.5000
```